Entry 1:
# GGA-PBE Pa2FeAu, relaxed
data_Pa2FeAu
_cell_length_a 3.0737
_cell_length_b 3.0737
_cell_length_c 8.4040
_cell_angle_alpha 90.00
_cell_angle_beta 90.00
_cell_angle_gamma 90.00
_symmetry_space_group_name_H-M 'P 4/m m m'
_symmetry_Int_Tables_number 123
_symmetry_space_group_name_Hall '-P 4 2'
loop_
_atom_site_label
_atom_site_fract_x
_atom_site_fract_y
_atom_site_fract_z
Pa1 0.0000 0.0000 0.2162
Fe1 0.5000 0.5000 0.0000
Au1 0.5000 0.5000 0.5000
# Energy of formation in meV per atom: -201

***

Entry 2:
# GGA-PBE LiPdPb, relaxed
data_LiPdPb
_cell_length_a 3.5137
_cell_length_b 3.5137
_cell_length_c 8.8356
_cell_angle_alpha 90.00
_cell_angle_beta 90.00
_cell_angle_gamma 90.00
_symmetry_space_group_name_H-M 'I 4 m m'
_symmetry_Int_Tables_number 107
_symmetry_space_group_name_Hall 'I 4 -2'
loop_
_atom_site_label
_atom_site_fract_x
_atom_site_fract_y
_atom_site_fract_z
Li1 0.0000 0.0000 0.0000
Pd1 0.0000 0.0000 0.6471
Pb1 0.0000 0.0000 0.3187
# Energy of formation in meV per atom: -387

***

Entry 3:
# GGA-PBE TbPr2In, relaxed
data_TbPr2In
_cell_length_a 3.6653
_cell_length_b 3.6653
_cell_length_c 9.5831
_cell_angle_alpha 90.00
_cell_angle_beta 90.00
_cell_angle_gamma 90.00
_symmetry_space_group_name_H-M 'P 4/m m m'
_symmetry_Int_Tables_number 123
_symmetry_space_group_name_Hall '-P 4 2'
loop_
_atom_site_label
_atom_site_fract_x
_atom_site_fract_y
_atom_site_fract_z
Tb1 0.0000 0.0000 0.0000
Pr1 0.5000 0.5000 0.2725
In1 0.0000 0.0000 0.5000
# Energy of formation in meV per atom: -202

***

Entry 4:
# GGA-PBE Ac6Rh2I3Br, relaxed
data_Ac6Rh2I3Br
_cell_length_a 7.8499
_cell_length_b 13.5513
_cell_length_c 8.9363
_cell_angle_alpha 90.00
_cell_angle_beta 106.96
_cell_angle_gamma 90.00
_symmetry_space_group_name_H-M 'C 1 2/m 1'
_symmetry_Int_Tables_number 12
_symmetry_space_group_name_Hall '-C 2y'
loop_
_atom_site_label
_atom_site_fract_x
_atom_site_fract_y
_atom_site_fract_z
Ac1 0.1950 0.0000 0.1900
Ac2 0.2502 0.1844 0.8075
Rh1 0.0000 0.1674 0.0000
I1 0.0000 0.0000 0.5000
I2 0.0000 0.3411 0.5000
Br1 0.0000 0.5000 0.0000
# Formation energy from raw total energies in eV per atom: -1.028

***

Number 1: magnetization 0.199 μB/f.u., density of states at the Fermi level 5.46 states/eV/cell. Number 2: magnetization 0.000 μB/f.u., density of states at the Fermi level 2.73 states/eV/cell. Number 3: magnetization 0.000 μB/f.u., density of states at the Fermi level 4.56 states/eV/cell. Number 4: magnetization 0.000 μB/f.u., density of states at the Fermi level 16.81 states/eV/cell.